The following is a DFT calculation (PBE+U) of crystalline UVF5 at its relaxed geometry.

Properties
Density in g cm⁻³: 5.3
Symmetry: C2/c
Uncorrected energy in eV/cell: -98.82

The structure in extended XYZ format:
```
14
Lattice="4.7581 -3.4509 0.0000 4.7581 3.4509 0.0000 -3.4368 0.0000 7.3540" Properties=species:S:1:pos:R:3 pbc="T T T"
U 2.1805 3.1375 5.5155
U 3.8989 -3.1375 1.8385
V 4.7581 0.0000 0.0000
V 3.0397 0.0000 3.6770
F 3.1012 2.1243 3.4302
F 4.6967 2.1243 0.2468
F -0.5765 0.0610 6.4811
F 1.1419 -0.0610 2.8041
F 2.1805 0.6959 5.5155
F 3.8989 -0.6959 1.8385
F 4.9376 0.0610 4.5499
F 6.6560 -0.0610 0.8729
F 1.3828 -2.1243 7.1072
F 2.9783 -2.1243 3.9238
```